No. 1
The following is a GGA-PBE calculation of an optimized crystal structure of LiFeIr, from OQMD.

Mass density in Mg/m³: 10.5
Raw total energy in eV per cell: -18.1

Lattice parameters (Å, degrees): 3.8545 3.8545 3.8545 60.00 60.00 60.00
Fractional coordinates of all 3 atoms:
1 Fe 0.0000 0.0000 0.0000
2 Ir 0.2500 0.2500 0.2500
3 Li 0.7500 0.7500 0.7500

---

No. 2
The following is a GGA-PBE calculation of an optimized crystal structure of LiYFeSi, from OQMD.

Mass density in Mg/m³: 4.9
Raw total energy in eV per cell: -22.8

Lattice parameters (Å, degrees): 4.4237 4.4237 4.4237 60.00 60.00 60.00
Fractional coordinates of all 4 atoms:
1 Fe 0.7500 0.7500 0.7500
2 Li 0.2500 0.2500 0.2500
3 Si 0.0000 0.0000 0.0000
4 Y 0.5000 0.5000 0.5000

---

No. 3
The following is a GGA-PBE calculation of an optimized crystal structure of In2AgPdCl6, from OQMD.

Mass density in Mg/m³: 4.3
Raw total energy in eV per cell: -30.5

Lattice parameters (Å, degrees): 7.1162 7.1162 7.1162 60.00 60.00 60.00
Fractional coordinates of all 10 atoms:
1 Ag 0.5000 0.5000 0.5000
2 Cl 0.7585 0.2415 0.2415
3 Cl 0.2415 0.7585 0.2415
4 Cl 0.7585 0.7585 0.2415
5 Cl 0.2415 0.2415 0.7585
6 Cl 0.7585 0.2415 0.7585
7 Cl 0.2415 0.7585 0.7585
8 In 0.2500 0.2500 0.2500
9 In 0.7500 0.7500 0.7500
10 Pd 0.0000 0.0000 0.0000

---

No. 4
The following is a GGA-PBE calculation of an optimized crystal structure of UInAgSe3, from OQMD.

Mass density in Mg/m³: 7.1
Raw total energy in eV per cell: -63.0

Lattice parameters (Å, degrees): 7.4494 7.4494 10.8476 90.00 90.00 147.25
Each line ends with the local moment (μB).
Fractional coordinates of all 12 atoms:
1 Ag 0.5501 0.4499 0.2500  -0.01
2 Ag 0.4499 0.5501 0.7500  -0.01
3 In 0.2572 0.7428 0.2500  -0.01
4 In 0.7428 0.2572 0.7500  -0.01
5 Se 0.6330 0.3670 0.0361  -0.06
6 Se 0.9303 0.0697 0.2500  -0.06
7 Se 0.6330 0.3670 0.4639  -0.06
8 Se 0.3670 0.6330 0.5361  -0.06
9 Se 0.0697 0.9303 0.7500  -0.06
10 Se 0.3670 0.6330 0.9639  -0.06
11 U 0.0000 0.0000 0.0000  2.12
12 U 0.0000 0.0000 0.5000  2.12

---

No. 5
The following is a GGA-PBE calculation of an optimized crystal structure of KNbSeO, from OQMD.

Mass density in Mg/m³: 3.9
Raw total energy in eV per cell: -98.4

Lattice parameters (Å, degrees): 5.0830 5.7988 14.0208 90.00 108.74 90.00
Fractional coordinates of all 16 atoms:
1 K 0.4259 0.6529 0.3398
2 K 0.9279 0.1568 0.3415
3 K 0.0721 0.6568 0.6585
4 K 0.5741 0.1529 0.6602
5 Nb 0.4945 0.3157 0.0644
6 Nb 0.9959 0.8158 0.0651
7 Nb 0.0041 0.3158 0.9349
8 Nb 0.5055 0.8157 0.9356
9 O 0.2501 0.0249 0.0000
10 O 0.7499 0.5249 0.0000
11 O 0.7504 0.1078 0.0002
12 O 0.2496 0.6078 0.9998
13 Se 0.7986 0.6631 0.2055
14 Se 0.3004 0.1631 0.2061
15 Se 0.6996 0.6631 0.7939
16 Se 0.2014 0.1631 0.7945

---

No. 6
The following is a GGA-PBE calculation of an optimized crystal structure of Tb2Cu3Ag, from OQMD.

Mass density in Mg/m³: 9.1
Raw total energy in eV per cell: -24.4

Lattice parameters (Å, degrees): 3.5570 3.5570 8.9319 90.00 90.00 90.00
Fractional coordinates of all 6 atoms:
1 Ag 0.0000 0.0000 0.8210
2 Cu 0.0000 0.0000 0.1802
3 Cu 0.5000 0.5000 0.3265
4 Cu 0.5000 0.5000 0.6672
5 Tb 0.5000 0.5000 0.0115
6 Tb 0.0000 0.0000 0.4935

---

No. 7
The following is a GGA-PBE calculation of an optimized crystal structure of LiCuSiTe2S, from OQMD.

Mass density in Mg/m³: 4.8
Raw total energy in eV per cell: -45.7

Lattice parameters (Å, degrees): 6.8135 6.8135 10.3766 90.00 90.00 146.46
Fractional coordinates of all 12 atoms:
1 Cu 0.4250 0.5750 0.2500
2 Cu 0.5750 0.4250 0.7500
3 Li 0.6398 0.3602 0.2500
4 Li 0.3602 0.6398 0.7500
5 S 0.0233 0.9767 0.2500
6 S 0.9767 0.0233 0.7500
7 Si 0.0000 0.0000 0.0000
8 Si 0.0000 0.0000 0.5000
9 Te 0.3512 0.6488 0.0207
10 Te 0.3512 0.6488 0.4793
11 Te 0.6488 0.3512 0.5207
12 Te 0.6488 0.3512 0.9793

---

No. 8
The following is a GGA-PBE calculation of an optimized crystal structure of YCuMoPb, from OQMD.

Mass density in Mg/m³: 9.4
Raw total energy in eV per cell: -22.9

Lattice parameters (Å, degrees): 4.8537 4.8537 4.8537 60.00 60.00 60.00
Fractional coordinates of all 4 atoms:
1 Cu 0.7500 0.7500 0.7500
2 Mo 0.2500 0.2500 0.2500
3 Pb 0.0000 0.0000 0.0000
4 Y 0.5000 0.5000 0.5000

---

No. 9
The following is a GGA-PBE calculation of an optimized crystal structure of LuSnPt, from OQMD.

Mass density in Mg/m³: 12.8
Raw total energy in eV per cell: -48.7

Lattice parameters (Å, degrees): 8.1028 8.1028 3.3447 90.00 90.00 120.00
Fractional coordinates of all 9 atoms:
1 Lu 0.2955 0.0000 0.0000
2 Lu 0.0000 0.2955 0.0000
3 Lu 0.7045 0.7045 0.0000
4 Pt 0.6460 0.0000 0.5000
5 Pt 0.3540 0.3540 0.5000
6 Pt 0.0000 0.6460 0.5000
7 Sn 0.6667 0.3333 0.0000
8 Sn 0.3333 0.6667 0.0000
9 Sn 0.0000 0.0000 0.5000

---

No. 10
The following is a GGA-PBE calculation of an optimized crystal structure of Li2Sc2Ge2IrPd, from OQMD.

Mass density in Mg/m³: 7.4
Raw total energy in eV per cell: -45.6

Lattice parameters (Å, degrees): 4.4240 4.4240 6.2485 90.00 90.00 90.00
Fractional coordinates of all 8 atoms:
1 Ge 0.0000 0.5000 0.2521
2 Ge 0.5000 0.0000 0.7479
3 Ir 0.5000 0.5000 0.5000
4 Li 0.5000 0.5000 0.0000
5 Li 0.0000 0.0000 0.5000
6 Pd 0.0000 0.0000 0.0000
7 Sc 0.5000 0.0000 0.2523
8 Sc 0.0000 0.5000 0.7478

---

No. 11
The following is a GGA-PBE calculation of an optimized crystal structure of BaLaAuS3, from OQMD.

Mass density in Mg/m³: 5.8
Raw total energy in eV per cell: -64.0

Lattice parameters (Å, degrees): 8.1184 4.2108 9.9291 90.00 104.69 90.00
Fractional coordinates of all 12 atoms:
1 Au 0.6122 0.2500 0.0972
2 Au 0.3878 0.7500 0.9028
3 Ba 0.2508 0.7500 0.2095
4 Ba 0.7492 0.2500 0.7905
5 La 0.8015 0.7500 0.3462
6 La 0.1985 0.2500 0.6538
7 S 0.7703 0.7500 0.0459
8 S 0.5532 0.2500 0.3352
9 S 0.0557 0.2500 0.3568
10 S 0.9443 0.7500 0.6432
11 S 0.4468 0.7500 0.6648
12 S 0.2297 0.2500 0.9541

---

No. 12
The following is a GGA-PBE calculation of an optimized crystal structure of Zr4Co4Ge7, from OQMD.

Mass density in Mg/m³: 8.0
Raw total energy in eV per cell: -208.6

Lattice parameters (Å, degrees): 5.2412 9.7380 9.7380 94.15 74.39 105.61
Fractional coordinates of all 30 atoms:
1 Co 0.3983 0.5000 0.2035
2 Co 0.8983 0.5000 0.2035
3 Co 0.3983 0.7965 0.5000
4 Co 0.8983 0.7965 0.5000
5 Co 0.1017 0.2035 0.5000
6 Co 0.6017 0.2035 0.5000
7 Co 0.1017 0.5000 0.7965
8 Co 0.6017 0.5000 0.7965
9 Ge 0.2493 0.0000 0.0000
10 Ge 0.7507 0.0000 0.0000
11 Ge 0.7078 0.4156 0.0000
12 Ge 0.2922 0.5844 0.0000
13 Ge 0.0000 0.2930 0.2930
14 Ge 0.7070 0.7070 0.2930
15 Ge 0.5000 0.4062 0.4062
16 Ge 0.0938 0.5938 0.4062
17 Ge 0.2922 0.0000 0.4156
18 Ge 0.7078 0.0000 0.5844
19 Ge 0.9062 0.4062 0.5938
20 Ge 0.5000 0.5938 0.5938
21 Ge 0.2930 0.2930 0.7070
22 Ge 0.0000 0.7070 0.7070
23 Zr 0.1389 0.2778 0.0000
24 Zr 0.8611 0.7222 0.0000
25 Zr 0.5000 0.1959 0.1959
26 Zr 0.3041 0.8041 0.1959
27 Zr 0.8611 0.0000 0.2778
28 Zr 0.1389 0.0000 0.7222
29 Zr 0.6959 0.1959 0.8041
30 Zr 0.5000 0.8041 0.8041

---

No. 13
The following is a GGA-PBE calculation of an optimized crystal structure of NaYPtPb, from OQMD.

Mass density in Mg/m³: 9.3
Raw total energy in eV per cell: -19.3

Lattice parameters (Å, degrees): 5.0725 5.0725 5.0725 60.00 60.00 60.00
Fractional coordinates of all 4 atoms:
1 Na 0.7500 0.7500 0.7500
2 Pb 0.0000 0.0000 0.0000
3 Pt 0.5000 0.5000 0.5000
4 Y 0.2500 0.2500 0.2500

---

No. 14
The following is a GGA-PBE calculation of an optimized crystal structure of PmPuNi, from OQMD.

Mass density in Mg/m³: 10.3
Raw total energy in eV per cell: -24.3

Lattice parameters (Å, degrees): 4.6730 4.6730 4.6730 60.00 60.00 60.00
Each line ends with the local moment (μB).
Fractional coordinates of all 3 atoms:
1 Ni 0.0000 0.0000 0.0000  -0.01
2 Pm 0.7500 0.7500 0.7500  0.29
3 Pu 0.2500 0.2500 0.2500  5.53

---

No. 15
The following is a GGA-PBE calculation of an optimized crystal structure of PrHfNO, from OQMD.

Mass density in Mg/m³: 9.1
Raw total energy in eV per cell: -69.9

Lattice parameters (Å, degrees): 4.5407 4.5407 6.1996 90.00 90.00 90.00
Fractional coordinates of all 8 atoms:
1 Hf 0.7500 0.7500 0.0335
2 Hf 0.2500 0.2500 0.9665
3 N 0.7500 0.7500 0.3489
4 N 0.2500 0.2500 0.6511
5 O 0.7500 0.2500 0.0000
6 O 0.2500 0.7500 0.0000
7 Pr 0.7500 0.2500 0.5000
8 Pr 0.2500 0.7500 0.5000

---

No. 16
The following is a GGA-PBE calculation of an optimized crystal structure of Nd3PbN, from OQMD.

Mass density in Mg/m³: 4.5
Raw total energy in eV per cell: -19.5

Lattice parameters (Å, degrees): 6.2134 6.2134 6.2134 90.00 90.00 90.00
Each line ends with the local moment (μB).
Fractional coordinates of all 5 atoms:
1 N 0.0000 0.0000 0.0000  -1.29
2 Nd 0.5000 0.5000 0.0000  0.42
3 Nd 0.5000 0.0000 0.5000  0.42
4 Nd 0.0000 0.5000 0.5000  0.39
5 Pb 0.5000 0.5000 0.5000  -0.01

---

No. 17
The following is a GGA-PBE calculation of an optimized crystal structure of YTmAl2, from OQMD.

Mass density in Mg/m³: 5.2
Raw total energy in eV per cell: -20.0

Lattice parameters (Å, degrees): 4.1233 5.9481 5.9481 43.29 90.00 90.00
Fractional coordinates of all 4 atoms:
1 Al 0.0000 0.0745 0.0745
2 Al 0.5000 0.9246 0.9246
3 Tm 0.0000 0.3605 0.3605
4 Y 0.5000 0.6405 0.6405

---

No. 18
The following is a GGA-PBE calculation of an optimized crystal structure of ErZnNi, from OQMD.

Mass density in Mg/m³: 9.1
Raw total energy in eV per cell: -25.3

Lattice parameters (Å, degrees): 4.2269 4.2269 6.8507 90.00 90.00 120.00
Fractional coordinates of all 6 atoms:
1 Er 0.0000 0.0000 0.2504
2 Er 0.0000 0.0000 0.7504
3 Ni 0.6667 0.3333 0.4986
4 Ni 0.3333 0.6667 0.9986
5 Zn 0.6667 0.3333 0.0010
6 Zn 0.3333 0.6667 0.5010

---

No. 19
The following is a GGA-PBE calculation of an optimized crystal structure of AcErIn, from OQMD.

Mass density in Mg/m³: 7.2
Raw total energy in eV per cell: -10.0

Lattice parameters (Å, degrees): 5.4950 5.4950 5.4950 60.00 60.00 60.00
Fractional coordinates of all 3 atoms:
1 Ac 0.0000 0.0000 0.0000
2 Er 0.2500 0.2500 0.2500
3 In 0.7500 0.7500 0.7500

---

No. 20
The following is a GGA-PBE calculation of an optimized crystal structure of ScAgSO, from OQMD.

Mass density in Mg/m³: 4.9
Raw total energy in eV per cell: -101.4

Lattice parameters (Å, degrees): 6.5461 6.8238 6.1157 90.00 98.26 90.00
Fractional coordinates of all 16 atoms:
1 Ag 0.9707 0.2211 0.1794
2 Ag 0.0293 0.7211 0.3206
3 Ag 0.9707 0.2789 0.6794
4 Ag 0.0293 0.7789 0.8206
5 O 0.6094 0.3595 0.1150
6 O 0.3906 0.8595 0.3850
7 O 0.6094 0.1405 0.6150
8 O 0.3906 0.6405 0.8850
9 S 0.7564 0.9128 0.1028
10 S 0.2436 0.4128 0.3972
11 S 0.7564 0.5872 0.6028
12 S 0.2436 0.0872 0.8972
13 Sc 0.5080 0.6334 0.2086
14 Sc 0.4920 0.1334 0.2914
15 Sc 0.5080 0.8666 0.7086
16 Sc 0.4920 0.3666 0.7914

---

No. 21
The following is a GGA-PBE calculation of an optimized crystal structure of NdTmMg2Sn2, from OQMD.

Mass density in Mg/m³: 6.3
Raw total energy in eV per cell: -23.7

Lattice parameters (Å, degrees): 8.5948 8.5948 8.5948 150.10 150.10 42.80
Fractional coordinates of all 6 atoms:
1 Mg 0.9989 0.4989 0.5000
2 Mg 0.4989 0.9989 0.5000
3 Nd 0.6672 0.6672 0.0000
4 Sn 0.1352 0.1352 0.0000
5 Sn 0.8655 0.8655 0.0000
6 Tm 0.3343 0.3343 0.0000

---

No. 22
The following is a GGA-PBE calculation of an optimized crystal structure of Sc2Cd4HgAu, from OQMD.

Mass density in Mg/m³: 9.5
Raw total energy in eV per cell: -22.5

Lattice parameters (Å, degrees): 4.8843 4.8843 6.8681 90.00 90.00 90.00
Fractional coordinates of all 8 atoms:
1 Au 0.0000 0.0000 0.0000
2 Cd 0.5000 0.5000 0.0000
3 Cd 0.5000 0.0000 0.2436
4 Cd 0.0000 0.0000 0.5000
5 Cd 0.0000 0.5000 0.7564
6 Hg 0.5000 0.5000 0.5000
7 Sc 0.0000 0.5000 0.2419
8 Sc 0.5000 0.0000 0.7581

---

No. 23
The following is a GGA-PBE calculation of an optimized crystal structure of KPaBi, from OQMD.

Mass density in Mg/m³: 7.6
Raw total energy in eV per cell: -11.2

Lattice parameters (Å, degrees): 5.3014 5.3014 5.3014 60.00 60.00 60.00
Each line ends with the local moment (μB).
Fractional coordinates of all 3 atoms:
1 Bi 0.2500 0.2500 0.2500  -0.08
2 K 0.0000 0.0000 0.0000  0.07
3 Pa 0.7500 0.7500 0.7500  2.17

---

No. 24
The following is a GGA-PBE calculation of an optimized crystal structure of YMg2Cu2, from OQMD.

Mass density in Mg/m³: 4.5
Raw total energy in eV per cell: -17.7

Lattice parameters (Å, degrees): 6.5457 6.5457 6.5457 143.88 143.88 52.01
Fractional coordinates of all 5 atoms:
1 Cu 0.3989 0.3989 0.0000
2 Cu 0.6011 0.6011 0.0000
3 Mg 0.7500 0.2500 0.5000
4 Mg 0.2500 0.7500 0.5000
5 Y 0.0000 0.0000 0.0000

---

No. 25
The following is a GGA-PBE calculation of an optimized crystal structure of PaSiAu, from OQMD.

Mass density in Mg/m³: 9.9
Raw total energy in eV per cell: -18.0

Lattice parameters (Å, degrees): 4.7622 4.7622 4.7622 60.00 60.00 60.00
Fractional coordinates of all 3 atoms:
1 Au 0.2500 0.2500 0.2500
2 Pa 0.0000 0.0000 0.0000
3 Si 0.7500 0.7500 0.7500